Entry 1:
This record from Alexandria describes a relaxed PrY6Hg2 crystal. The functional is PBE.

Lattice parameters (Å, degrees): 12.7592 3.7434 11.9902 90.00 108.21 90.00
Last column: nearest neighbours and their distance in Å.
Space group C2/m (No. 12)
Symmetry-distinct sites (fractional):
Pr  0.0000  0.0000  0.0000 x2  4 Hg 3.28
Y  0.0161  0.0000  0.3401 x4  2 Hg 3.18, 2 Y 3.55
Y  0.1883  0.5000  0.5843 x4  2 Hg 3.23, 8 Y 3.47-3.59
Y  0.1887  0.5000  0.8747 x4  2 Hg 3.23, 5 Y 3.47-3.57
Hg  0.1483  0.5000  0.2161 x4  6 Y 3.18-3.23, 2 Pr 3.28

Computed properties:
For the density of states at the Fermi level, the calculation gives 23.11 states/eV per cell. For the formation energy, the calculation gives -211 meV/atom. For the magnetic moment, the calculation gives 0.000 μB/atom.

Entry 2:
This record from Alexandria describes a relaxed Pr3YHg2 crystal. The functional is PBE.

Lattice parameters (Å, degrees): 7.3402 15.0938 7.6414 90.00 90.00 90.00
Last column: nearest neighbours and their distance in Å.
Space group Ibam (No. 72)
Symmetry-distinct sites (fractional):
Pr  0.0000  0.0000  0.2500 x4  4 Hg 3.18
Pr  0.0000  0.2724  0.2500 x8  4 Hg 3.18-3.20
Y  0.0000  0.5000  0.0000 x4  2 Hg 3.00
Hg  0.2037  0.1366  0.0000 x8  1 Y 3.00, 6 Pr 3.18-3.20

Computed properties:
For the density of states at the Fermi level, the calculation gives 35.59 states/eV per cell. For the formation energy, the calculation gives -82 meV/atom. For the magnetic moment, the calculation gives 0.000 μB/atom.

Entry 3:
This record from Alexandria describes a relaxed Pr2YHg6 crystal. The functional is PBE.

Lattice parameters (Å, degrees): 8.7169 8.7169 3.5140 90.00 90.00 120.00
Last column: nearest neighbours and their distance in Å.
Space group P6/mmm (No. 191)
Symmetry-distinct sites (fractional):
Pr  0.3333  0.6667  0.0000 x2  12 Hg 3.41, 2 Pr 3.51
Y  0.0000  0.0000  0.0000 x1  12 Hg 3.37, 2 Y 3.51
Hg  0.0000  0.3305  0.5000 x6  3 Hg 2.88-2.95

Computed properties:
For the density of states at the Fermi level, the calculation gives 6.90 states/eV per cell. For the formation energy, the calculation gives -423 meV/atom. For the magnetic moment, the calculation gives 0.049 μB/atom.

Entry 4:
This record from Alexandria describes a relaxed Pr3Y4Hg crystal. The functional is PBE.

Lattice parameters (Å, degrees): 3.6501 3.6501 19.3002 90.00 90.00 90.00
Last column: nearest neighbours and their distance in Å.
Space group P4/mmm (No. 123)
Symmetry-distinct sites (fractional):
Pr  0.0000  0.0000  0.0000 x1  8 Y 3.64, 4 Pr 3.65
Pr  0.0000  0.0000  0.2660 x2  8 Y 3.64, 4 Pr 3.65
Y  0.5000  0.5000  0.1330 x2  8 Pr 3.64, 4 Y 3.65
Y  0.5000  0.5000  0.3990 x2  4 Hg 3.23
Hg  0.0000  0.0000  0.5000 x1  8 Y 3.23

Computed properties:
For the density of states at the Fermi level, the calculation gives 10.21 states/eV per cell. For the formation energy, the calculation gives -118 meV/atom. For the magnetic moment, the calculation gives 0.000 μB/atom.

Entry 5:
This record from Alexandria describes a relaxed PrY2Hg crystal. The functional is PBE.

Lattice parameters (Å, degrees): 5.1464 12.4770 7.7573 90.00 90.00 90.00
Last column: nearest neighbours and their distance in Å.
Space group Cmcm (No. 63)
Symmetry-distinct sites (fractional):
Pr  0.0000  0.0540  0.2500 x4  1 Hg 3.18, 4 Y 3.54
Y  0.0000  0.3599  0.0314 x8  3 Hg 2.95-3.17
Hg  0.0000  0.2006  0.7500 x4  6 Y 2.95-3.17, 1 Pr 3.18

Computed properties:
For the density of states at the Fermi level, the calculation gives 19.40 states/eV per cell. For the formation energy, the calculation gives -198 meV/atom. For the magnetic moment, the calculation gives 0.000 μB/atom.

Entry 6:
This record from Alexandria describes a relaxed PrY3Hg2 crystal. The functional is PBE.

Lattice parameters (Å, degrees): 3.7145 3.7145 12.4979 90.00 90.00 90.00
Last column: nearest neighbours and their distance in Å.
Space group P4/mmm (No. 123)
Symmetry-distinct sites (fractional):
Pr  0.0000  0.0000  0.0000 x1  8 Y 3.65, 4 Pr 3.71
Y  0.5000  0.5000  0.2026 x2  4 Hg 3.20
Y  0.5000  0.5000  0.5000 x1  8 Hg 3.23
Hg  0.0000  0.0000  0.3494 x2  8 Y 3.20-3.23

Computed properties:
For the density of states at the Fermi level, the calculation gives 6.89 states/eV per cell. For the formation energy, the calculation gives -335 meV/atom. For the magnetic moment, the calculation gives 0.000 μB/atom.

Entry 7:
This record from Alexandria describes a relaxed PrYHg crystal. The functional is PBE.

Lattice parameters (Å, degrees): 7.0300 5.3240 9.5347 90.00 90.00 90.00
Last column: nearest neighbours and their distance in Å.
Space group Pnma (No. 62)
Symmetry-distinct sites (fractional):
Pr  0.1811  0.2500  0.0770 x4  4 Hg 3.12-3.22
Y  0.0134  0.2500  0.6994 x4  3 Hg 3.19-3.29, 1 Pr 3.52
Hg  0.2238  0.2500  0.4026 x4  4 Pr 3.12-3.22, 3 Y 3.19-3.29

Computed properties:
For the density of states at the Fermi level, the calculation gives 5.63 states/eV per cell. For the formation energy, the calculation gives -347 meV/atom. For the magnetic moment, the calculation gives 0.000 μB/atom.

Entry 8:
This record from Alexandria describes a relaxed PrY3Hg2 crystal. The functional is PBE.

Lattice parameters (Å, degrees): 5.1411 9.3816 7.2112 90.00 90.00 90.00
Last column: nearest neighbours and their distance in Å.
Space group Pmc2_1 (No. 26)
Symmetry-distinct sites (fractional):
Pr  0.0000  0.0583  0.0000 x2  3 Hg 3.23-3.29, 1 Y 3.57
Y  0.0000  0.3289  0.6511 x2  4 Hg 3.01-3.14
Y  0.5000  0.1791  0.3179 x2  4 Hg 3.07-3.14
Y  0.5000  0.4421  0.9680 x2  3 Hg 3.19-3.28, 1 Y 3.53
Hg  0.0000  0.3553  0.2264 x2  6 Y 3.01-3.28, 1 Pr 3.23
Hg  0.5000  0.1503  0.7417 x2  5 Y 3.07-3.19, 2 Pr 3.29

Computed properties:
For the density of states at the Fermi level, the calculation gives 6.64 states/eV per cell. For the formation energy, the calculation gives -364 meV/atom. For the magnetic moment, the calculation gives 0.000 μB/atom.